Material: U2Ni3P4Ir
Method: DFT, GGA-PBE
State: optimized geometry

Summary:
Theoretical density in g cm⁻³: 10.84
Energy in eV per atom: -7.769

Cell: 4.0407 4.0407 9.0848 Å, 90.00 90.00 90.00°
Last column: magnetic moment on the atom in μB.
Sites, in units of the cell vectors:
P: 0.0000 0.0000 0.0000  0.00
Ni: 0.5000 0.0000 0.8878  0.12
Ni: 0.0000 0.5000 0.1122  0.12
Ir: 0.5000 0.5000 0.5000  -0.04
U: 0.0000 0.5000 0.7610  1.97
P: 0.5000 0.5000 0.0000  0.00
U: 0.5000 0.0000 0.2390  1.97
P: 0.5000 0.0000 0.6423  -0.01
P: 0.0000 0.5000 0.3577  -0.01
Ni: 0.0000 0.0000 0.5000  0.10